Density functional theory data (PBE) for an optimized crystal structure of Sm4Ho7Mg.

Properties
ΔH_f (0 K) in eV per atom: 0.2550
Density in g cm⁻³: 7.5
Spin magnetization in Bohr magnetons per cell: 0.000
Density of states at the Fermi level in states/eV per cell: 34.678
Total energy in eV/atom: -4.12

a = 12.112 Å, b = 5.794 Å, c = 12.551 Å
α = 90.00°, β = 116.64°, γ = 90.00°
Space group C2/m (No. 12)
One atom of each set of equivalent atoms:
Sm 0.128 0.000 0.269 [4 per cell]
Sm 0.188 0.500 0.149 [4 per cell]
Ho 0.000 0.000 0.500 [2 per cell]
Ho 0.088 0.500 0.782 [4 per cell]
Ho 0.134 0.000 0.986 [4 per cell]
Ho 0.203 0.500 0.428 [4 per cell]
Mg 0.000 0.500 0.500 [2 per cell]

---

Density functional theory data (PBE) for an optimized crystal structure of SmHo7Mg4.

Properties
ΔH_f (0 K) in eV per atom: 0.2332
Density in g cm⁻³: 6.4
Spin magnetization in Bohr magnetons per cell: 0.000
Density of states at the Fermi level in states/eV per cell: 27.789
Total energy in eV/atom: -3.36

a = 13.618 Å, b = 5.681 Å, c = 11.257 Å
α = 90.00°, β = 123.71°, γ = 90.00°
Space group C2/m (No. 12)
One atom of each set of equivalent atoms:
Sm 0.000 0.000 0.000 [2 per cell]
Ho 0.000 0.500 0.000 [2 per cell]
Ho 0.056 0.000 0.382 [4 per cell]
Ho 0.174 0.500 0.614 [4 per cell]
Ho 0.220 0.000 0.881 [4 per cell]
Mg 0.065 0.500 0.783 [4 per cell]
Mg 0.187 0.500 0.336 [4 per cell]

---

Density functional theory data (PBE) for an optimized crystal structure of Sm4Ho2Mg.

Properties
ΔH_f (0 K) in eV per atom: 0.1261
Density in g cm⁻³: 6.8
Spin magnetization in Bohr magnetons per cell: 0.000
Density of states at the Fermi level in states/eV per cell: 7.373
Total energy in eV/atom: -4.11

a = 5.939 Å, b = 3.651 Å, c = 10.912 Å
α = 90.00°, β = 99.49°, γ = 90.00°
Space group P2/m (No. 10)
One atom of each set of equivalent atoms:
Sm 0.050 0.000 0.205 [2 per cell]
Sm 0.433 0.500 0.750 [2 per cell]
Ho 0.000 0.500 0.500 [1 per cell]
Ho 0.500 0.000 0.500 [1 per cell]
Mg 0.500 0.000 0.000 [1 per cell]

---

Density functional theory data (PBE) for an optimized crystal structure of SmHoMg17.

Properties
ΔH_f (0 K) in eV per atom: -0.0235
Density in g cm⁻³: 2.6
Spin magnetization in Bohr magnetons per cell: 0.000
Density of states at the Fermi level in states/eV per cell: 25.254
Total energy in eV/atom: -1.94

a = 10.2272 Å, b = 10.2272 Å, c = 15.2230 Å
α = 90.00°, β = 90.00°, γ = 120.00°
Space group R3m (No. 160, hexagonal axes)
One atom of each set of equivalent atoms:
Sm 0.0000 0.0000 0.0000 [3 per cell]
Ho 0.0000 0.0000 0.3421 [3 per cell]
Mg 0.0000 0.0000 0.5701 [3 per cell]
Mg 0.0000 0.0000 0.7689 [3 per cell]
Mg 0.0070 0.5035 0.8214 [9 per cell]
Mg 0.0310 0.3630 0.3373 [18 per cell]
Mg 0.1680 0.3359 0.5048 [9 per cell]
Mg 0.1722 0.3443 0.8527 [9 per cell]

---

Density functional theory data (PBE) for an optimized crystal structure of Sm3HoMg4.

Properties
ΔH_f (0 K) in eV per atom: -0.0923
Density in g cm⁻³: 5.3
Spin magnetization in Bohr magnetons per cell: 0.000
Density of states at the Fermi level in states/eV per cell: 10.239
Total energy in eV/atom: -3.23

a = 3.826 Å, b = 3.826 Å, c = 15.365 Å
α = 90.00°, β = 90.00°, γ = 90.00°
Space group P4/mmm (No. 123)
One atom of each set of equivalent atoms:
Sm 0.000 0.000 0.000 [1 per cell]
Sm 0.000 0.000 0.253 [2 per cell]
Ho 0.000 0.000 0.500 [1 per cell]
Mg 0.500 0.500 0.127 [2 per cell]
Mg 0.500 0.500 0.379 [2 per cell]

---

Density functional theory data (PBE) for an optimized crystal structure of Sm4Ho3Mg.

Properties
ΔH_f (0 K) in eV per atom: -0.0064
Density in g cm⁻³: 7.4
Spin magnetization in Bohr magnetons per cell: 0.000
Density of states at the Fermi level in states/eV per cell: 10.305
Total energy in eV/atom: -4.28

a = 3.601 Å, b = 3.601 Å, c = 19.425 Å
α = 90.00°, β = 90.00°, γ = 90.00°
Space group P4/mmm (No. 123)
One atom of each set of equivalent atoms:
Sm 0.000 0.000 0.114 [2 per cell]
Sm 0.000 0.000 0.371 [2 per cell]
Ho 0.500 0.500 0.241 [2 per cell]
Ho 0.500 0.500 0.500 [1 per cell]
Mg 0.500 0.500 0.000 [1 per cell]

---

Density functional theory data (PBE) for an optimized crystal structure of SmHo6Mg2.

Properties
ΔH_f (0 K) in eV per atom: 0.4532
Density in g cm⁻³: 6.9
Spin magnetization in Bohr magnetons per cell: 0.000
Density of states at the Fermi level in states/eV per cell: 37.812
Total energy in eV/atom: -3.48

a = 7.1739 Å, b = 7.1739 Å, c = 19.1449 Å
α = 90.00°, β = 90.00°, γ = 120.00°
Space group R3m (No. 160, hexagonal axes)
One atom of each set of equivalent atoms:
Sm 0.0000 0.0000 0.0000 [3 per cell]
Ho 0.0059 0.5030 0.4486 [9 per cell]
Ho 0.0385 0.5193 0.2486 [9 per cell]
Mg 0.0000 0.0000 0.2585 [3 per cell]
Mg 0.0000 0.0000 0.4355 [3 per cell]

---

Density functional theory data (PBE) for an optimized crystal structure of Sm2HoMg8.

Properties
ΔH_f (0 K) in eV per atom: 0.0421
Density in g cm⁻³: 3.7
Spin magnetization in Bohr magnetons per cell: 0.000
Density of states at the Fermi level in states/eV per cell: 17.725
Total energy in eV/atom: -2.39

a = 5.279 Å, b = 7.655 Å, c = 14.528 Å
α = 90.00°, β = 90.00°, γ = 90.00°
Space group Immm (No. 71)
One atom of each set of equivalent atoms:
Sm 0.000 0.000 0.209 [4 per cell]
Ho 0.000 0.000 0.500 [2 per cell]
Mg 0.000 0.210 0.000 [4 per cell]
Mg 0.000 0.304 0.366 [8 per cell]
Mg 0.000 0.500 0.154 [4 per cell]